Entry 1:
Here is a relaxed Ac6Al2Au crystal from Alexandria. Energies are from GGA-PBE.

ΔH_f (0 K)   -208 meV per atom
Symmetry   No. 14

Cell: 6.989 9.122 12.348 Å, 90.00 121.59 90.00°
Positions (direct):
1 Ac 0.070 0.169 0.439
2 Ac 0.070 0.331 0.939
3 Ac 0.318 0.681 0.435
4 Ac 0.318 0.819 0.935
5 Ac 0.406 0.040 0.274
6 Ac 0.406 0.460 0.774
7 Ac 0.594 0.540 0.226
8 Ac 0.594 0.960 0.726
9 Ac 0.682 0.181 0.065
10 Ac 0.682 0.319 0.565
11 Ac 0.930 0.669 0.061
12 Ac 0.930 0.831 0.561
13 Al 0.181 0.125 0.751
14 Al 0.181 0.375 0.251
15 Al 0.819 0.625 0.749
16 Al 0.819 0.875 0.249
17 Au 0.000 0.000 0.000
18 Au 0.000 0.500 0.500

***

Entry 2:
Here is a relaxed AcAl2Au6 crystal from Alexandria. Energies are from GGA-PBE.

ΔH_f (0 K)   -450 meV per atom
Symmetry   No. 123

Cell: 4.743 4.743 8.249 Å, 90.00 90.00 90.00°
Positions (direct):
1 Ac 0.000 0.000 0.000
2 Al 0.500 0.500 0.162
3 Al 0.500 0.500 0.838
4 Au 0.000 0.000 0.500
5 Au 0.000 0.500 0.290
6 Au 0.000 0.500 0.710
7 Au 0.500 0.000 0.290
8 Au 0.500 0.000 0.710
9 Au 0.500 0.500 0.500

***

Entry 3:
Here is a relaxed Ac3Al8Au3 crystal from Alexandria. Energies are from GGA-PBE.

ΔH_f (0 K)   -484 meV per atom
Symmetry   No. 12

Cell: 8.667 8.667 9.995 Å, 124.81 124.81 31.02°
Positions (direct):
1 Ac 0.000 0.000 0.000
2 Ac 0.302 0.302 0.303
3 Ac 0.698 0.698 0.697
4 Al 0.135 0.135 0.854
5 Al 0.142 0.142 0.420
6 Al 0.338 0.338 0.971
7 Al 0.500 0.500 0.295
8 Al 0.500 0.500 0.705
9 Al 0.662 0.662 0.029
10 Al 0.858 0.858 0.580
11 Al 0.865 0.865 0.146
12 Au 0.000 0.000 0.500
13 Au 0.343 0.343 0.701
14 Au 0.657 0.657 0.299

***

Entry 4:
Here is a relaxed AcAlAu2 crystal from Alexandria. Energies are from GGA-PBE.

ΔH_f (0 K)   -452 meV per atom
Symmetry   No. 123

Cell: 3.530 3.530 7.327 Å, 90.00 90.00 90.00°
Positions (direct):
1 Ac 0.000 0.000 0.000
2 Al 0.000 0.000 0.500
3 Au 0.500 0.500 0.302
4 Au 0.500 0.500 0.698

***

Entry 5:
Here is a relaxed Ac2Al6Au3 crystal from Alexandria. Energies are from GGA-PBE.

ΔH_f (0 K)   -583 meV per atom
Symmetry   No. 189

Cell: 8.125 8.125 4.292 Å, 90.00 90.00 120.00°
Positions (direct):
1 Ac 0.333 0.667 0.000
2 Ac 0.667 0.333 0.000
3 Al 0.000 0.300 0.500
4 Al 0.000 0.814 0.000
5 Al 0.186 0.186 0.000
6 Al 0.300 0.000 0.500
7 Al 0.700 0.700 0.500
8 Al 0.814 0.000 0.000
9 Au 0.000 0.635 0.500
10 Au 0.365 0.365 0.500
11 Au 0.635 0.000 0.500

***

Entry 6:
Here is a relaxed AcAlAu4 crystal from Alexandria. Energies are from GGA-PBE.

ΔH_f (0 K)   -388 meV per atom
Symmetry   No. 216

Cell: 5.717 5.717 5.717 Å, 60.00 60.00 60.00°
Positions (direct):
1 Ac 0.000 0.000 0.000
2 Al 0.750 0.750 0.750
3 Au 0.376 0.376 0.376
4 Au 0.376 0.376 0.873
5 Au 0.376 0.873 0.376
6 Au 0.873 0.376 0.376

***

Entry 7:
Here is a relaxed Ac4Al3Au crystal from Alexandria. Energies are from GGA-PBE.

ΔH_f (0 K)   -400 meV per atom
Symmetry   No. 25

Cell: 4.488 4.855 11.661 Å, 90.00 90.00 90.00°
Positions (direct):
1 Ac 0.000 0.000 0.000
2 Ac 0.000 0.500 0.490
3 Ac 0.500 0.000 0.705
4 Ac 0.500 0.500 0.207
5 Al 0.000 0.500 0.786
6 Al 0.500 0.000 0.409
7 Al 0.500 0.500 0.916
8 Au 0.000 0.000 0.285

***

Entry 8:
Here is a relaxed Ac4AlAu3 crystal from Alexandria. Energies are from GGA-PBE.

ΔH_f (0 K)   -653 meV per atom
Symmetry   No. 25

Cell: 4.258 4.893 11.964 Å, 90.00 90.00 90.00°
Positions (direct):
1 Ac 0.000 0.000 0.000
2 Ac 0.000 0.500 0.273
3 Ac 0.500 0.000 0.497
4 Ac 0.500 0.500 0.781
5 Al 0.000 0.000 0.711
6 Au 0.000 0.500 0.560
7 Au 0.500 0.000 0.223
8 Au 0.500 0.500 0.056

***

Entry 9:
Here is a relaxed Ac3Al2Au4 crystal from Alexandria. Energies are from GGA-PBE.

ΔH_f (0 K)   -763 meV per atom
Symmetry   No. 12

Cell: 6.338 6.338 9.082 Å, 110.31 110.31 43.65°
Positions (direct):
1 Ac 0.000 0.000 0.000
2 Ac 0.370 0.370 0.307
3 Ac 0.630 0.630 0.693
4 Al 0.331 0.331 0.659
5 Al 0.669 0.669 0.341
6 Au 0.100 0.100 0.409
7 Au 0.286 0.286 0.924
8 Au 0.714 0.714 0.076
9 Au 0.900 0.900 0.591

***

Entry 10:
Here is a relaxed Ac4Al2Au5 crystal from Alexandria. Energies are from GGA-PBE.

ΔH_f (0 K)   -695 meV per atom
Symmetry   No. 10

Cell: 8.091 4.114 9.204 Å, 90.00 95.14 90.00°
Positions (direct):
1 Ac 0.218 0.000 0.353
2 Ac 0.264 0.000 0.875
3 Ac 0.736 0.000 0.125
4 Ac 0.782 0.000 0.647
5 Al 0.433 0.500 0.620
6 Al 0.567 0.500 0.380
7 Au 0.000 0.500 0.000
8 Au 0.116 0.500 0.625
9 Au 0.395 0.500 0.131
10 Au 0.605 0.500 0.869
11 Au 0.884 0.500 0.375